First-principles (PBE+U) data for an optimized crystal structure of VIF2, as listed in the Alexandria database.

a b c (Å): 4.6074 4.6074 4.6074
angles (deg): 60.00 60.00 60.00
Fractional coordinates of all 4 atoms:
V 0.0000 0.0000 0.0000
I 0.5000 0.5000 0.5000
F 0.2500 0.2500 0.2500
F 0.7500 0.7500 0.7500

Summary:
Total DFT energy (no corrections) in eV per cell: -15.38
Spin magnetization in μB/atom: 0.580